1.
Material: Mg2InRuC
Method: DFT, PBE
State: relaxed

Crystal system   tetragonal
Space-group type   No. 123
Calculated formation energy   0.32 eV/f.u.
Uncorrected energy   -24.107 eV/f.u.

POSCAR file:
```
Mg2InRuC
1.0
-0.913 -3.160 -3.053
4.204 0.279 -1.547
1.133 -2.814 2.573
C Mg In Ru
1 2 1 1
Cartesian
0.000 0.000 0.000
2.102 0.140 -0.773
-0.457 -1.580 -1.526
2.212 -2.847 -1.013
0.567 -1.407 1.286
```

2.
Material: CrTe2I
Method: DFT, PBE
State: relaxed

Formation energy without anion corrections   40 meV/atom
Crystal system   orthorhombic
Space-group type   No. 33
Uncorrected energy   -17.298 eV/f.u.

POSCAR file:
```
CrTe2I
1.0
-4.839 5.075 -0.109
-8.255 -7.811 2.810
1.120 1.211 6.656
Te Cr I
8 4 4
Cartesian
-5.793 1.097 1.315
-2.327 -0.450 1.013
-9.570 -4.383 3.163
-6.570 -3.042 5.731
-2.634 -2.230 5.137
-2.725 2.512 4.289
-10.036 -1.494 6.033
-9.660 0.359 2.316
-9.061 -3.916 5.761
-2.356 2.995 6.908
-9.217 0.763 4.936
-2.200 -1.685 7.733
-5.728 -1.915 1.792
-8.212 -6.351 6.549
-4.170 4.385 0.383
-6.655 -0.050 5.141
```

Question: What is the formula in the second record?
Answer: CrTe2I